No. 1
Computed, not measured: a PBEsol-optimized structure of ZrTaHg2S at the meta-GGA SCAN level of DFT.

Lattice parameters (Å, degrees): 4.8947 4.8947 4.5294 90.00 90.00 90.00
Space group P4/mmm (No. 123)
Unique sites:
Zr 0.0000 0.0000 0.0000 [1 per cell]
Ta 0.5000 0.5000 0.0000 [1 per cell]
Hg 0.0000 0.5000 0.5000 [2 per cell]
S 0.5000 0.5000 0.5000 [1 per cell]

## Properties
- VASP energy (eV per atom) = -47.926
- crystal system = tetragonal
- spin magnetization (μB per cell) = 0.00

***

No. 2
Computed, not measured: a PBEsol-optimized structure of Tc2HgS at the meta-GGA SCAN level of DFT.

Lattice parameters (Å, degrees): 6.1858 6.1858 6.1858 90.00 90.00 90.00
Space group Fm-3m (No. 225)
Unique sites:
Tc 0.2500 0.2500 0.2500 [8 per cell]
Hg 0.0000 0.0000 0.0000 [4 per cell]
S 0.0000 0.0000 0.5000 [4 per cell]

## Properties
- VASP energy (eV per atom) = -36.192
- crystal system = cubic
- spin magnetization (μB per cell) = 0.00